VASP calculation (PBE with a Hubbard U) on a relaxed Cr3SeO crystal.

Cell lengths 4.3854, 4.3854, 4.3854 Å; angles 90.00, 90.00, 90.00 degrees
Closest atoms and distances in Å follow each position.
Space group Pm-3m (No. 221)
One atom of each set of equivalent atoms:
Cr: 0.0000 0.0000 0.5000 (multiplicity 3)  2 O 2.19
Se: 0.5000 0.5000 0.5000 (multiplicity 1)  12 Cr 3.10
O: 0.0000 0.0000 0.0000 (multiplicity 1)  6 Cr 2.19

Summary:
Mass density: 4941 kg/m3
Final energy: -6.608 eV/atom
Spin magnetization: 13.98 Bohr magnetons per cell
DOS at the Fermi energy: 2.171 states/eV per cell
Volume: 16.868 A^3/atom